Compound: BaLiIn
Source: Alexandria
Functional: PBE
Structure: relaxed

Size of the total moment   0.000 μB/atom
DFT formation energy   -0.252 eV per atom
E above lowest polymorph   7 kJ/mol of formula units

a = 5.0298 Å, b = 13.9703 Å, c = 8.0716 Å
α = 90.00°, β = 90.00°, γ = 90.00°
Space group Amm2 (No. 38)
Inequivalent atoms, fractional coordinates:
Ba: 0.0000 0.0000 0.0000 x2
Ba: 0.0000 0.2075 0.3770 x4
Li: 0.0000 0.0000 0.5853 x2
Li: 0.5000 0.1674 0.0848 x4
In: 0.5000 0.0000 0.3601 x2
In: 0.5000 0.1126 0.6979 x4


Compound: HfScSb2
Source: Alexandria
Functional: PBE
Structure: relaxed

Formation energy from raw total energies   -0.42 eV/atom
Size of the total moment   0.205 μB/atom
E above lowest polymorph   92 kJ/mol of formula units

a = 7.1604 Å, b = 7.1604 Å, c = 7.1604 Å
α = 90.00°, β = 90.00°, γ = 90.00°
Space group Fm-3m (No. 225)
Inequivalent atoms, fractional coordinates:
Hf: 0.0000 0.0000 0.0000 x4
Sc: 0.0000 0.0000 0.5000 x4
Sb: 0.2500 0.2500 0.2500 x8


Compound: BeCdAs2
Source: Alexandria
Functional: PBE
Structure: relaxed

Size of the total moment   0.000 μB/atom
DFT formation energy   0.282 eV per atom
E above lowest polymorph   84 kJ/mol of formula units

a = 3.1039 Å, b = 3.1039 Å, c = 8.2152 Å
α = 90.00°, β = 90.00°, γ = 90.00°
Space group P4/mmm (No. 123)
Inequivalent atoms, fractional coordinates:
Be: 0.0000 0.0000 0.0000 x1
Cd: 0.0000 0.0000 0.5000 x1
As: 0.5000 0.5000 0.1551 x2


Compound: Pm2BePt3
Source: Alexandria
Functional: PBE
Structure: relaxed

Size of the total moment   0.000 μB/atom
DFT formation energy   -0.978 eV per atom

a = 7.8316 Å, b = 8.5162 Å, c = 14.9140 Å
α = 90.00°, β = 90.00°, γ = 90.00°
Space group Fmmm (No. 69)
Inequivalent atoms, fractional coordinates:
Pm: 0.2496 0.0000 0.0000 x8
Pm: 0.2500 0.2500 0.2500 x8
Be: 0.0000 0.0000 0.1683 x8
Pt: 0.0000 0.0000 0.3180 x8
Pt: 0.0000 0.2236 0.0908 x16


Compound: BaLaGeN3
Source: Alexandria
Functional: PBE
Structure: relaxed

Formation energy from raw total energies   -0.52 eV/atom
Size of the total moment   0.000 μB/atom

a = 13.2937 Å, b = 4.1937 Å, c = 7.7689 Å
α = 90.00°, β = 106.44°, γ = 90.00°
Space group C2/m (No. 12)
Inequivalent atoms, fractional coordinates:
Ba: 0.1452 0.0000 0.0719 x4
La: 0.1490 0.0000 0.5750 x4
Ge: 0.0032 0.5000 0.2769 x4
N: 0.0037 0.0000 0.2931 x4
N: 0.1443 0.5000 0.7997 x4
N: 0.1524 0.5000 0.3432 x4


Compound: TmPa5
Source: Alexandria
Functional: PBE
Structure: relaxed

Size of the total moment   0.000 μB/atom
DFT formation energy   0.114 eV per atom

a = 5.5793 Å, b = 16.8438 Å, c = 3.2398 Å
α = 90.00°, β = 90.00°, γ = 90.00°
Space group Cmmm (No. 65)
Inequivalent atoms, fractional coordinates:
Tm: 0.0000 0.0000 0.0000 x2
Pa: 0.0000 0.1770 0.5000 x4
Pa: 0.0000 0.3399 0.0000 x4
Pa: 0.0000 0.5000 0.5000 x2